Entry 1:
# Sr2GaTcOs

Crystalline Sr2GaTcOs at its relaxed geometry (PBE-GGA, Alexandria via LeMat-Bulk).

Results
Formation enthalpy at 0 K in meV per atom: 1057
D(E_F) in states/eV/cell: 6.3

Unit cell a=5.7413 b=5.7413 c=4.8098 alpha=90.00 beta=90.00 gamma=90.00
Last column: nearest neighbours and their distance in Å.
Space group P4/mmm (No. 123)
One atom of each set of equivalent atoms:
Sr 0.0000 0.5000 0.0000 x2  2 Os 2.87
Ga 0.0000 0.0000 0.5000 x1  2 Os 2.40
Tc 0.5000 0.5000 0.5000 x1  8 Sr 3.74, 4 Ga 4.06
Os 0.0000 0.0000 0.0000 x1  2 Ga 2.40

***

Entry 2:
# Tl2GeAu2

Crystalline Tl2GeAu2 at its relaxed geometry (PBE-GGA, Alexandria via LeMat-Bulk).

Results
Polymorph energy (0 for the lowest one) in meV per atom: 107.4
Formation enthalpy at 0 K in meV per atom: 85
D(E_F) in states/eV/cell: 4.6

Unit cell a=6.8956 b=6.8956 c=5.2112 alpha=90.00 beta=90.00 gamma=90.00
Last column: nearest neighbours and their distance in Å.
Space group P4/mbm (No. 127)
One atom of each set of equivalent atoms:
Tl 0.1718 0.3282 0.0000 x4  6 Au 3.14-3.42, 1 Tl 3.35
Ge 0.0000 0.0000 0.5000 x2  4 Au 2.63
Au 0.1480 0.6480 0.5000 x4  2 Ge 2.63, 1 Au 2.89

***

Entry 3:
# TaTiPt2

Crystalline TaTiPt2 at its relaxed geometry (PBE-GGA, Alexandria via LeMat-Bulk).

Results
Formation enthalpy at 0 K in meV per atom: -277
D(E_F) in states/eV/cell: 16.2

Unit cell a=7.1497 b=7.1497 c=5.5059 alpha=90.00 beta=90.00 gamma=90.00
Last column: nearest neighbours and their distance in Å.
Space group I-42d (No. 122)
One atom of each set of equivalent atoms:
Ta 0.0000 0.0000 0.0000 x4  4 Pt 2.63, 2 Ti 2.75
Ti 0.0000 0.0000 0.5000 x4  4 Pt 2.61, 2 Ta 2.75
Pt 0.2479 0.7500 0.6250 x8  2 Ti 2.61, 2 Ta 2.63, 2 Pt 2.75

***

Entry 4:
# InPO2

Crystalline InPO2 at its relaxed geometry (PBE-GGA, Alexandria via LeMat-Bulk).

Results
Polymorph energy (0 for the lowest one) in meV per atom: 307.3
E_form (uncorrected) in meV/atom: -562
D(E_F) in states/eV/cell: 13.8

Unit cell a=5.6425 b=5.6425 c=8.8177 alpha=90.00 beta=90.00 gamma=90.00
Last column: nearest neighbours and their distance in Å.
Space group I4_1/amd (No. 141, origin choice 2)
One atom of each set of equivalent atoms:
In 0.0000 0.2500 0.3750 x4  12 O 3.34-3.59, 4 P 3.58, 4 In 3.58
P 0.0000 0.2500 0.8750 x4  4 O 1.79
O 0.0000 0.0000 0.0000 x8  2 P 1.79